Dy3AgSn (PBE, optimized geometry); SG = Pmmn (59); D(E_F) = 0.8083 states/eV/atom; crystal system = orthorhombic; mass density = 8.2 g/cm3
1.0
4.543 0.000 0.000
0.000 6.805 0.000
0.000 0.000 9.302
Dy Ag Sn
6 2 2
Direct
0.250 0.008 0.186
0.250 0.250 0.574
0.250 0.492 0.186
0.750 0.508 0.814
0.750 0.750 0.426
0.750 0.992 0.814
0.250 0.250 0.912
0.750 0.750 0.088
0.250 0.750 0.644
0.750 0.250 0.356

Dy4Ag3Sn (PBE, optimized geometry); SG = I4/mmm (139); D(E_F) = 0.7099 states/eV/atom; crystal system = tetragonal; mass density = 9.2 g/cm3
1.0
-2.588 2.588 7.395
2.588 -2.588 7.395
2.588 2.588 -7.395
Dy Ag Sn
4 3 1
Direct
0.129 0.629 0.500
0.371 0.871 0.500
0.629 0.129 0.500
0.871 0.371 0.500
0.000 0.000 0.000
0.247 0.247 0.000
0.753 0.753 0.000
0.500 0.500 0.000

Dy2AgSn2 (PBE, optimized geometry); SG = C2/m (12); D(E_F) = 0.7185 states/eV/atom; crystal system = monoclinic; mass density = 8.8 g/cm3
1.0
5.663 -2.306 0.000
5.663 2.306 0.000
-4.782 0.000 9.723
Dy Ag Sn
4 2 4
Direct
0.006 0.006 0.328
0.180 0.180 0.102
0.820 0.820 0.898
0.994 0.994 0.672
0.288 0.288 0.661
0.712 0.712 0.339
0.356 0.356 0.427
0.460 0.460 0.113
0.540 0.540 0.887
0.644 0.644 0.573

Dy3Ag2Sn (PBE, optimized geometry); SG = Cmmm (65); D(E_F) = 0.7505 states/eV/atom; crystal system = orthorhombic; mass density = 9.1 g/cm3
1.0
2.591 -7.869 0.000
2.591 7.869 0.000
0.000 0.000 3.681
Dy Ag Sn
3 2 1
Direct
0.000 0.000 0.000
0.330 0.670 0.000
0.670 0.330 0.000
0.171 0.829 0.500
0.829 0.171 0.500
0.500 0.500 0.500

DyAgSn3 (PBE, optimized geometry); SG = Pbcm (57); D(E_F) = 0.4765 states/eV/atom; crystal system = orthorhombic; mass density = 8.4 g/cm3
1.0
12.811 0.000 0.000
0.000 6.229 0.000
0.000 0.000 6.203
Dy Ag Sn
4 4 12
Direct
0.191 0.008 0.250
0.191 0.492 0.750
0.809 0.508 0.250
0.809 0.992 0.750
0.387 0.250 0.000
0.387 0.250 0.500
0.613 0.750 0.000
0.613 0.750 0.500
0.001 0.750 0.000
0.001 0.750 0.500
0.237 0.511 0.250
0.237 0.989 0.750
0.424 0.651 0.750
0.424 0.849 0.250
0.576 0.151 0.750
0.576 0.349 0.250
0.763 0.011 0.250
0.763 0.489 0.750
0.999 0.250 0.000
0.999 0.250 0.500

Dy4AgSn (PBE, optimized geometry); SG = Cmcm (63); D(E_F) = 1.0057 states/eV/atom; crystal system = orthorhombic; mass density = 8.0 g/cm3
1.0
2.692 -10.501 0.000
2.692 10.501 0.000
0.000 0.000 6.431
Dy Ag Sn
8 2 2
Direct
0.058 0.942 0.750
0.204 0.796 0.506
0.204 0.796 0.994
0.377 0.623 0.750
0.623 0.377 0.250
0.796 0.204 0.006
0.796 0.204 0.494
0.942 0.058 0.250
0.078 0.922 0.250
0.922 0.078 0.750
0.346 0.654 0.250
0.654 0.346 0.750

Dy5Ag2Sn (PBE, optimized geometry); SG = I4/mcm (140); D(E_F) = 1.1225 states/eV/atom; crystal system = tetragonal; mass density = 8.8 g/cm3
1.0
-4.012 4.012 6.699
4.012 -4.012 6.699
4.012 4.012 -6.699
Dy Ag Sn
10 4 2
Direct
0.000 0.000 0.000
0.006 0.506 0.812
0.194 0.006 0.500
0.306 0.806 0.812
0.494 0.306 0.500
0.500 0.500 0.000
0.506 0.694 0.500
0.694 0.194 0.188
0.806 0.994 0.500
0.994 0.494 0.188
0.133 0.367 0.500
0.367 0.867 0.234
0.633 0.133 0.766
0.867 0.633 0.500
0.250 0.250 0.000
0.750 0.750 0.000

Dy2Ag3Sn3 (PBE, optimized geometry); SG = Pmmm (47); D(E_F) = 0.3613 states/eV/atom; crystal system = orthorhombic; mass density = 9.1 g/cm3
1.0
4.546 0.000 0.000
0.000 4.666 0.000
0.000 0.000 8.668
Dy Ag Sn
2 3 3
Direct
0.000 0.000 0.249
0.000 0.000 0.751
0.000 0.500 0.500
0.500 0.500 0.263
0.500 0.500 0.737
0.000 0.500 0.000
0.500 0.000 0.000
0.500 0.000 0.500

Dy8AgSn2 (PBE, optimized geometry); SG = C2/m (12); D(E_F) = 0.9896 states/eV/atom; crystal system = monoclinic; mass density = 8.6 g/cm3
1.0
9.632 -2.521 0.000
9.632 2.521 0.000
-1.658 0.000 6.547
Dy Ag Sn
8 1 2
Direct
0.020 0.020 0.274
0.215 0.215 0.819
0.347 0.347 0.503
0.407 0.407 0.025
0.593 0.593 0.975
0.653 0.653 0.497
0.785 0.785 0.181
0.980 0.980 0.726
0.500 0.500 0.500
0.182 0.182 0.257
0.818 0.818 0.743

DyAg2Sn (PBE, optimized geometry); SG = P4/mmm (123); D(E_F) = 0.5056 states/eV/atom; crystal system = tetragonal; mass density = 9.0 g/cm3
1.0
3.811 0.000 0.000
0.000 3.811 0.000
0.000 0.000 6.342
Dy Ag Sn
1 2 1
Direct
0.000 0.000 0.000
0.500 0.500 0.245
0.500 0.500 0.755
0.000 0.000 0.500

Dy2AgSn (PBE, optimized geometry); SG = P2_1/m (11); D(E_F) = 0.8372 states/eV/atom; crystal system = monoclinic; mass density = 8.7 g/cm3
1.0
6.182 0.000 0.000
0.000 4.597 0.000
-2.649 0.000 7.415
Dy Ag Sn
4 2 2
Direct
0.200 0.250 0.434
0.208 0.250 0.916
0.792 0.750 0.084
0.800 0.750 0.566
0.343 0.750 0.707
0.657 0.250 0.293
0.332 0.750 0.210
0.668 0.250 0.790

Dy2AgSn (PBE, optimized geometry); SG = P4/mmm (123); D(E_F) = 0.8472 states/eV/atom; crystal system = tetragonal; mass density = 9.0 g/cm3
1.0
5.032 0.000 0.000
0.000 5.032 0.000
0.000 0.000 4.013
Dy Ag Sn
2 1 1
Direct
0.000 0.500 0.000
0.500 0.000 0.000
0.000 0.000 0.500
0.500 0.500 0.500

| no. | ΔE_f (eV per formula unit) |
| --- | --- |
| 1 | -1.62 |
| 2 | -3.34 |
| 3 | -2.94 |
| 4 | -2.59 |
| 5 | -1.65 |
| 6 | -1.13 |
| 7 | -2.89 |
| 8 | -3.13 |
| 9 | -3.32 |
| 10 | -0.96 |
| 11 | -2.07 |
| 12 | -1.99 |